Compound: CuSbPd6
Source: Alexandria via LeMat-Bulk
Functional: PBE
Structure: relaxed

Space-group type: P4/mmm (123)
Uncorrected energy in eV/atom: -5.145
Energy relative to the elements, uncorrected in eV/atom: -0.2231
Spin magnetization in μB per formula unit: 0.0

Cell: 4.024 4.024 7.752 Å, 90.00 90.00 90.00°
Sites, in units of the cell vectors:
Cu  0.000  0.000  0.000
Sb  0.000  0.000  0.500
Pd  0.000  0.500  0.242
Pd  0.000  0.500  0.758
Pd  0.500  0.000  0.242
Pd  0.500  0.000  0.758
Pd  0.500  0.500  0.000
Pd  0.500  0.500  0.500